Entry one
6
Lattice="5.6082 -1.7745 0.0000 5.6082 1.7745 0.0000 -0.2383 0.0000 7.9612" Properties=species:S:1:pos:R:3 comment="LaThC | the Alexandria database | PBE-GGA | optimized geometry" spacegroup=C2/m n_ef_per_ev_cell=5.4 pbc="T T T"
La 1.4330 0.0000 1.2480
La 9.5450 0.0000 6.7132
Th 1.3857 0.0000 4.8620
Th 9.5923 0.0000 3.0992
C 3.8773 0.0000 4.8415
C 7.1008 0.0000 3.1197

***

Entry two
6
Lattice="6.4128 0.0000 0.0000 0.0000 3.6851 0.0000 -2.2623 0.0000 6.7251" Properties=species:S:1:pos:R:3 comment="LaThC | the Alexandria database | PBE-GGA | optimized geometry" spacegroup=P2_1/m n_ef_per_ev_cell=5.1 pbc="T T T"
La 0.5330 0.9213 1.4517
La 3.6175 2.7639 5.2734
Th 0.4137 0.9213 5.2900
Th 3.7368 2.7639 1.4351
C -0.5266 2.7639 6.6657
C 4.6770 0.9213 0.0594

***

On energetic grounds, entry two is preferred over the next structure by 186 meV per atom.

***

Entry one
3
Lattice="3.7419 0.0000 0.0000 0.0000 3.7301 0.0000 -0.0180 0.0000 5.3575" Properties=species:S:1:pos:R:3 comment="LaThC | the Alexandria database | PBE-GGA | optimized geometry" spacegroup=P2/m n_ef_per_ev_cell=2.6 pbc="T T T"
La 0.0000 0.0000 0.0000
Th 1.8619 1.8650 2.6787
C -0.0090 0.0000 2.6787

***

Entry two
3
Lattice="3.6879 0.0000 0.0000 -1.8439 3.1938 0.0000 0.0000 0.0000 6.6744" Properties=species:S:1:pos:R:3 comment="LaThC | the Alexandria database | PBE-GGA | optimized geometry" spacegroup=P3m1 n_ef_per_ev_cell=2.6 pbc="T T T"
La 0.0000 0.0000 0.0000
Th 0.0000 2.1292 2.8995
C 1.8439 1.0646 1.5683

***

On energetic grounds, entry two is preferred over the next structure by 81 meV per atom.

***

Entry one
5
Lattice="-1.8792 2.6634 5.7507 1.8792 -2.6634 5.7507 1.8792 2.6634 -5.7507" Properties=species:S:1:pos:R:3 comment="LaTh2C2 | the Alexandria database | PBE-GGA | optimized geometry" spacegroup=Immm n_ef_per_ev_cell=4.8 pbc="T T T"
La 0.0000 0.0000 0.0000
Th 0.0000 0.0000 3.7197
Th 0.0000 0.0000 7.7817
C 1.8792 0.0000 2.0993
C 0.0000 2.6634 3.6514

***

Entry two
5
Lattice="1.8630 1.0756 9.5481 -1.8630 1.0756 9.5481 0.0000 -2.1512 9.5481" Properties=species:S:1:pos:R:3 comment="LaTh2C2 | the Alexandria database | PBE-GGA | optimized geometry" spacegroup=R-3m n_ef_per_ev_cell=4.0 pbc="T T T"
La 0.0000 0.0000 0.0000
Th 0.0000 0.0000 6.5148
Th 0.0000 0.0000 22.1296
C 0.0000 0.0000 11.3745
C 0.0000 0.0000 17.2700

***

On energetic grounds, entry one is preferred over the next structure by 6 meV per atom.

***

Entry one
5
Lattice="4.2930 0.0000 0.0000 0.0000 4.2930 0.0000 0.0000 0.0000 4.2930" Properties=species:S:1:pos:R:3 comment="LaTiC3 | the Alexandria database | PBE-GGA | optimized geometry" spacegroup=Pm-3m n_ef_per_ev_cell=3.8 pbc="T T T"
La 0.0000 0.0000 0.0000
Ti 2.1465 2.1465 2.1465
C 0.0000 0.0000 2.1465
C 0.0000 2.1465 0.0000
C 2.1465 0.0000 0.0000

***

Entry two
5
Lattice="4.1083 0.0000 0.0000 0.0000 4.1083 0.0000 0.0000 0.0000 4.1083" Properties=species:S:1:pos:R:3 comment="LaTiC3 | the Alexandria database | PBE-GGA | optimized geometry" spacegroup=Pm-3m n_ef_per_ev_cell=3.6 pbc="T T T"
La 0.0000 0.0000 0.0000
Ti 2.0541 2.0541 2.0541
C 0.0000 2.0541 2.0541
C 2.0541 0.0000 2.0541
C 2.0541 2.0541 0.0000

***

On energetic grounds, entry two is preferred over the next structure by 1908 meV per atom.

***

Entry one
4
Lattice="0.0000 3.2201 3.2201 3.2201 0.0000 3.2201 3.2201 3.2201 0.0000" Properties=species:S:1:pos:R:3 comment="LaTlC2 | the Alexandria database | PBE-GGA | optimized geometry" spacegroup=Fm-3m n_ef_per_ev_cell=3.4 pbc="T T T"
La 0.0000 0.0000 0.0000
Tl 3.2201 3.2201 3.2201
C 1.6100 1.6100 1.6100
C 4.8301 4.8301 4.8301

***

Entry two
8
Lattice="-2.5999 2.5999 6.2342 2.5999 -2.5999 6.2342 2.5999 2.5999 -6.2342" Properties=species:S:1:pos:R:3 comment="LaTlC2 | the Alexandria database | PBE-GGA | optimized geometry" spacegroup=I-42d n_ef_per_ev_cell=6.9 pbc="T T T"
La 0.0000 0.0000 0.0000
La 0.0000 2.5999 3.1171
Tl 2.5999 0.0000 3.1171
Tl 0.0000 0.0000 6.2342
C 1.2999 -1.1595 4.6757
C 1.4404 1.2999 1.5586
C 1.2999 3.7593 -1.5586
C 1.1595 1.2999 7.7928

***

On energetic grounds, entry two is preferred over the next structure by 81 meV per atom.

***

Entry one
4
Lattice="0.0000 3.6835 3.6835 3.6835 0.0000 3.6835 3.6835 3.6835 0.0000" Properties=species:S:1:pos:R:3 comment="LaTl2C | the Alexandria database | PBE-GGA | optimized geometry" spacegroup=Fm-3m n_ef_per_ev_cell=3.2 pbc="T T T"
La 0.0000 0.0000 0.0000
Tl 1.8417 1.8417 1.8417
Tl 5.5252 5.5252 5.5252
C 3.6835 3.6835 3.6835

***

Entry two
8
Lattice="-4.4932 4.4932 2.5633 4.4932 -4.4932 2.5633 4.4932 4.4932 -2.5633" Properties=species:S:1:pos:R:3 comment="LaTl2C | the Alexandria database | PBE-GGA | optimized geometry" spacegroup=I-42d n_ef_per_ev_cell=6.9 pbc="T T T"
La 0.0000 0.0000 0.0000
La 0.0000 4.4932 1.2817
Tl 2.2466 -1.3833 1.9225
Tl 3.1099 2.2466 0.6408
Tl 2.2466 5.8765 -0.6408
Tl 1.3833 2.2466 3.2041
C 4.4932 0.0000 1.2817
C 0.0000 0.0000 2.5633

***

On energetic grounds, entry two is preferred over the next structure by 531 meV per atom.

***

Entry one
18
Lattice="7.4846 0.0000 0.0000 0.0000 7.4846 0.0000 0.0000 0.0000 11.6988" Properties=species:S:1:pos:R:3 comment="La6Tl2C | the Alexandria database | PBE-GGA | optimized geometry" spacegroup=P4_2/mnm n_ef_per_ev_cell=17.3 pbc="T T T"
La 1.4231 1.4231 1.6973
La 1.4231 1.4231 10.0015
La 1.7821 5.7024 0.0000
La 1.9601 1.9601 5.8494
La 2.3192 5.1654 4.1521
La 2.3192 5.1654 7.5467
La 5.1654 2.3192 4.1521
La 5.1654 2.3192 7.5467
La 5.5244 5.5244 5.8494
La 5.7024 1.7821 0.0000
La 6.0615 6.0615 1.6973
La 6.0615 6.0615 10.0015
Tl 0.0000 0.0000 4.2324
Tl 0.0000 0.0000 7.4664
Tl 3.7423 3.7423 1.6170
Tl 3.7423 3.7423 10.0818
C 0.0000 0.0000 0.0000
C 3.7423 3.7423 5.8494

***

Entry two
9
Lattice="-3.6555 3.6555 5.1768 3.6555 -3.6555 5.1768 3.6555 3.6555 -5.1768" Properties=species:S:1:pos:R:3 comment="La6Tl2C | the Alexandria database | PBE-GGA | optimized geometry" spacegroup=I4/mmm n_ef_per_ev_cell=6.2 pbc="T T T"
La 0.0000 0.0000 2.5195
La 1.7831 1.7831 0.0000
La 1.8724 -1.8724 5.1768
La -1.8724 1.8724 5.1768
La 1.8724 1.8724 5.1768
La 0.0000 0.0000 7.8342
Tl 3.6555 0.0000 2.5884
Tl 0.0000 3.6555 2.5884
C 0.0000 0.0000 0.0000

***

On energetic grounds, entry two is preferred over the next structure by 282 meV per atom.

***

Entry one
5
Lattice="5.3477 0.0000 0.0000 0.0000 5.3477 0.0000 0.0000 0.0000 3.9973" Properties=species:S:1:pos:R:3 comment="La2VZnC | the Alexandria database | PBE-GGA | optimized geometry" spacegroup=P4/mmm n_ef_per_ev_cell=3.4 pbc="T T T"
La 0.0000 2.6739 0.0000
La 2.6739 0.0000 0.0000
V 0.0000 0.0000 1.9987
Zn 2.6739 2.6739 1.9987
C 0.0000 0.0000 0.0000

***

Entry two
5
Lattice="5.1714 0.0000 0.0000 0.0000 5.1714 0.0000 0.0000 0.0000 4.6675" Properties=species:S:1:pos:R:3 comment="La2VZnC | the Alexandria database | PBE-GGA | optimized geometry" spacegroup=P4/mmm n_ef_per_ev_cell=5.0 pbc="T T T"
La 0.0000 2.5857 0.0000
La 2.5857 0.0000 0.0000
V 0.0000 0.0000 0.0000
Zn 0.0000 0.0000 2.3337
C 2.5857 2.5857 2.3337

***

On energetic grounds, entry one is preferred over the next structure by 1420 meV per atom.

***

Entry one
5
Lattice="4.1389 0.0000 0.0000 0.0000 4.1389 0.0000 0.0000 0.0000 4.1389" Properties=species:S:1:pos:R:3 comment="LaWC3 | the Alexandria database | PBE-GGA | optimized geometry" spacegroup=Pm-3m n_ef_per_ev_cell=2.8 pbc="T T T"
La 0.0000 0.0000 0.0000
W 2.0694 2.0694 2.0694
C 0.0000 2.0694 2.0694
C 2.0694 0.0000 2.0694
C 2.0694 2.0694 0.0000

***

Entry two
5
Lattice="4.1917 0.0000 0.0000 0.0000 4.1917 0.0000 0.0000 0.0000 4.1917" Properties=species:S:1:pos:R:3 comment="LaWC3 | the Alexandria database | PBE-GGA | optimized geometry" spacegroup=Pm-3m n_ef_per_ev_cell=3.2 pbc="T T T"
La 0.0000 0.0000 0.0000
W 2.0958 2.0958 2.0958
C 0.0000 0.0000 2.0958
C 0.0000 2.0958 0.0000
C 2.0958 0.0000 0.0000

***

On energetic grounds, entry one is preferred over the next structure by 2760 meV per atom.

***

Entry one
8
Lattice="-4.7758 4.7758 2.4686 4.7758 -4.7758 2.4686 4.7758 4.7758 -2.4686" Properties=species:S:1:pos:R:3 comment="La2YC | the Alexandria database | PBE-GGA | optimized geometry" spacegroup=I-42d n_ef_per_ev_cell=9.6 pbc="T T T"
La 0.9921 2.3879 0.6172
La -2.3879 3.7837 1.8515
La -0.9921 7.1638 0.6172
La 2.3879 5.7679 1.8515
Y 4.7758 0.0000 1.2343
Y 0.0000 0.0000 2.4686
C 0.0000 0.0000 0.0000
C 0.0000 4.7758 1.2343

***

Entry two
4
Lattice="1.8293 1.0562 10.1407 -1.8293 1.0562 10.1407 0.0000 -2.1123 10.1407" Properties=species:S:1:pos:R:3 comment="La2YC | the Alexandria database | PBE-GGA | optimized geometry" spacegroup=R-3m n_ef_per_ev_cell=4.7 pbc="T T T"
La 0.0000 0.0000 3.6012
La 0.0000 0.0000 26.8210
Y 0.0000 0.0000 0.0000
C 0.0000 0.0000 15.2111

***

On energetic grounds, entry two is preferred over the next structure by 101 meV per atom.

***

Entry one
5
Lattice="5.3357 0.0000 0.0000 0.0000 5.3357 0.0000 0.0000 0.0000 5.3357" Properties=species:S:1:pos:R:3 comment="La3YC | the Alexandria database | PBE-GGA | optimized geometry" spacegroup=Pm-3m n_ef_per_ev_cell=8.2 pbc="T T T"
La 0.0000 0.0000 2.6679
La 0.0000 2.6679 0.0000
La 2.6679 0.0000 0.0000
Y 2.6679 2.6679 2.6679
C 0.0000 0.0000 0.0000

***

Entry two
5
Lattice="5.6692 0.0000 0.0000 0.0000 5.6692 0.0000 0.0000 0.0000 5.6692" Properties=species:S:1:pos:R:3 comment="La3YC | the Alexandria database | PBE-GGA | optimized geometry" spacegroup=Pm-3m n_ef_per_ev_cell=5.2 pbc="T T T"
La 0.0000 0.0000 2.8346
La 0.0000 2.8346 0.0000
La 2.8346 0.0000 0.0000
Y 0.0000 0.0000 0.0000
C 2.8346 2.8346 2.8346

***

On energetic grounds, entry one is preferred over the next structure by 1788 meV per atom.

***

Entry one
5
Lattice="5.1927 0.0000 0.0000 0.0000 5.1927 0.0000 0.0000 0.0000 5.1927" Properties=species:S:1:pos:R:3 comment="La3ZnC | the Alexandria database | PBE-GGA | optimized geometry" spacegroup=Pm-3m n_ef_per_ev_cell=6.8 pbc="T T T"
La 0.0000 0.0000 2.5963
La 0.0000 2.5963 0.0000
La 2.5963 0.0000 0.0000
Zn 2.5963 2.5963 2.5963
C 0.0000 0.0000 0.0000

***

Entry two
10
Lattice="7.8335 -1.8883 0.0000 7.8335 1.8883 0.0000 -0.4649 0.0000 8.9941" Properties=species:S:1:pos:R:3 comment="La3ZnC | the Alexandria database | PBE-GGA | optimized geometry" spacegroup=C2/m n_ef_per_ev_cell=10.5 pbc="T T T"
La 0.6800 0.0000 2.4404
La 3.6330 0.0000 5.9936
La 5.4495 0.0000 0.3435
La 9.7526 0.0000 8.6507
La 11.5692 0.0000 3.0005
La 14.5222 0.0000 6.5537
Zn 6.3073 0.0000 3.9428
Zn 8.8949 0.0000 5.0513
C 3.0385 0.0000 1.3534
C 12.1637 0.0000 7.6407

***

On energetic grounds, entry two is preferred over the next structure by 77 meV per atom.